[1]
Compound: La2InAgRu
Source: Alexandria via LeMat-Bulk
Functional: PBE-GGA
Structure: relaxed

Summary:
Electronic total energy (eV/atom): -4.41

Lattice parameters (Å, degrees): 5.6650 4.9306 5.6650 90.00 90.00 90.00
With the nearest neighbours (Å) after each atom.
Fractional coordinates of all 5 atoms:
Ru 0.0000 0.5000 0.0000  2 Ag 2.47
In 0.5000 0.5000 0.5000  8 La 3.76, 4 Ru 4.01
Ag 0.0000 0.0000 0.0000  2 Ru 2.47
La 0.0000 0.0000 0.5000  2 Ag 2.83
La 0.5000 0.0000 0.0000  2 Ag 2.83

=====

[2]
Compound: CdSi2P
Source: Alexandria via LeMat-Bulk
Functional: PBE-GGA
Structure: relaxed

Summary:
ΔE_f (raw) (eV/f.u.): 0.82

Lattice parameters (Å, degrees): 6.9670 6.9670 6.9670 29.61 29.61 29.61
With the nearest neighbours (Å) after each atom.
Fractional coordinates of all 4 atoms:
Cd 0.5006 0.5006 0.5006  3 Si 2.83, 3 P 2.88
P 0.2679 0.2679 0.2679  3 Si 2.39
Si 0.9953 0.9953 0.9953  3 P 2.39, 3 Si 2.54
Si 0.7363 0.7363 0.7363  3 Si 2.54, 3 Cd 2.83

=====

[3]
Compound: SiAs2Br
Source: Alexandria via LeMat-Bulk
Functional: PBE-GGA
Structure: relaxed

Summary:
ΔE_f (raw) (eV/f.u.): 2.19

Lattice parameters (Å, degrees): 6.8550 6.8550 6.8550 147.76 147.76 46.24
With the nearest neighbours (Å) after each atom.
Fractional coordinates of all 4 atoms:
As 0.0000 0.0000 0.0000  4 As 2.69
As 0.5000 0.5000 0.0000  4 As 2.69
Br 0.2500 0.7500 0.5000  4 Si 2.69
Si 0.7500 0.2500 0.5000  4 Br 2.69

=====

[4]
Compound: FeSbTe2
Source: Alexandria via LeMat-Bulk
Functional: PBE-GGA
Structure: relaxed

Summary:
ΔE_f (raw) (eV/f.u.): 0.38

Lattice parameters (Å, degrees): 9.2680 9.2680 9.2680 22.89 22.89 22.89
With the nearest neighbours (Å) after each atom.
Fractional coordinates of all 4 atoms:
Sb 0.0000 0.0000 0.0000  2 Te 3.11
Te 0.8852 0.8852 0.8852  3 Fe 2.55
Te 0.1148 0.1148 0.1148  3 Fe 2.55
Fe 0.5000 0.5000 0.5000  6 Te 2.55

=====

| no. | volume (Å³/cell) |
| --- | --- |
| 1 | 158.2 |
| 2 | 73.1 |
| 3 | 91.4 |
| 4 | 105.7 |